VASP calculation (PBE) on a relaxed La2VInN crystal.

Output
The total energy comes out at -6.687 eV/atom. The magnetization comes out at 1.98 μB per formula unit.

Lattice parameters (Å, degrees): 5.3966 5.3966 3.9387 90.00 90.00 90.00
With the nearest neighbours (Å) after each atom.
Space group P4/mmm (No. 123)
Symmetry-distinct sites (fractional):
La 0.0000 0.5000 0.0000 x2  2 N 2.70
V 0.0000 0.0000 0.5000 x1  2 N 1.97
In 0.5000 0.5000 0.5000 x1  8 La 3.34
N 0.0000 0.0000 0.0000 x1  2 V 1.97



VASP calculation (PBE) on a relaxed Fe2CoAu crystal.

Output
The value obtained for the formation energy is 0.34 eV per formula unit. Its energy relative to the lowest polymorph listed for this composition is 0 meV/atom. The magnetization comes out at 7.39 μB per formula unit.

Lattice parameters (Å, degrees): 2.7693 2.7693 6.9800 90.00 90.00 90.00
With the nearest neighbours (Å) after each atom.
Space group P4/mmm (No. 123)
Symmetry-distinct sites (fractional):
Fe 0.0000 0.0000 0.2134 x2  4 Co 2.46
Co 0.5000 0.5000 0.0000 x1  8 Fe 2.46
Au 0.5000 0.5000 0.5000 x1  4 Au 2.77, 8 Fe 2.80